[1]
Entry from the Alexandria database: crystalline BaCaIn2 at its relaxed geometry (PBEsol).

Computed properties:
Crystal system: orthorhombic

a b c (Å): 6.7248 6.7248 6.7248
angles (deg): 145.57 130.81 61.42
Fractional coordinates of all 4 atoms:
Ba: 0.0000 0.0000 0.0000
Ca: 0.2950 0.7950 0.5000
In: 0.5563 0.5563 0.0000
In: 0.7422 0.2422 0.5000



[2]
Entry from the Alexandria database: crystalline Ba2CaIn at its relaxed geometry (PBEsol).

Computed properties:
Crystal system: orthorhombic

a b c (Å): 5.6003 7.5201 7.5201
angles (deg): 31.65 90.00 90.00
Fractional coordinates of all 4 atoms:
Ba: 0.0000 0.0000 0.0000
Ba: 0.5000 0.3309 0.3309
Ca: 0.5000 0.6149 0.6149
In: 0.0000 0.7295 0.7295



[3]
Entry from the Alexandria database: crystalline Ba2CaIn at its relaxed geometry (PBEsol).

Computed properties:
Crystal system: tetragonal

a b c (Å): 5.9090 5.9090 4.6155
angles (deg): 90.00 90.00 90.00
Fractional coordinates of all 4 atoms:
Ba: 0.0000 0.5000 0.0000
Ba: 0.5000 0.0000 0.0000
Ca: 0.0000 0.0000 0.5000
In: 0.5000 0.5000 0.5000



[4]
Entry from the Alexandria database: crystalline Ba2CaIn2 at its relaxed geometry (PBEsol).

Computed properties:
Crystal system: tetragonal

a b c (Å): 9.3680 9.3680 4.4100
angles (deg): 90.00 90.00 90.00
Fractional coordinates of all 10 atoms:
Ba: 0.1698 0.3302 0.0000
Ba: 0.3302 0.8302 0.0000
Ba: 0.6698 0.1698 0.0000
Ba: 0.8302 0.6698 0.0000
Ca: 0.0000 0.0000 0.5000
Ca: 0.5000 0.5000 0.5000
In: 0.1249 0.6249 0.5000
In: 0.3751 0.1249 0.5000
In: 0.6249 0.8751 0.5000
In: 0.8751 0.3751 0.5000



[5]
Entry from the Alexandria database: crystalline Ba2CaIn at its relaxed geometry (PBEsol).

Computed properties:
Crystal system: tetragonal

a b c (Å): 6.1130 6.1130 6.1130
angles (deg): 120.51 120.51 89.12
Fractional coordinates of all 4 atoms:
Ba: 0.2500 0.7500 0.5000
Ba: 0.7500 0.2500 0.5000
Ca: 0.0000 0.0000 0.0000
In: 0.5000 0.5000 0.0000



[6]
Entry from the Alexandria database: crystalline Ba2CaIn at its relaxed geometry (PBEsol).

Computed properties:
Crystal system: orthorhombic

a b c (Å): 7.5382 7.5382 7.5382
angles (deg): 148.35 131.07 59.46
Fractional coordinates of all 4 atoms:
Ba: 0.0000 0.0000 0.0000
Ba: 0.6978 0.1978 0.5000
Ca: 0.2929 0.7929 0.5000
In: 0.4791 0.4791 0.0000



[7]
Entry from the Alexandria database: crystalline BaCaIn2W at its relaxed geometry (PBEsol).

Computed properties:
Crystal system: tetragonal

a b c (Å): 5.8584 5.8584 5.9393
angles (deg): 90.00 90.00 90.00
Fractional coordinates of all 5 atoms:
Ba: 0.0000 0.0000 0.0000
Ca: 0.0000 0.0000 0.5000
In: 0.0000 0.5000 0.0000
In: 0.5000 0.0000 0.0000
W: 0.5000 0.5000 0.5000



[8]
Entry from the Alexandria database: crystalline BaCaIn2W at its relaxed geometry (PBEsol).

Computed properties:
Crystal system: tetragonal

a b c (Å): 5.5453 5.5453 5.9233
angles (deg): 90.00 90.00 90.00
Fractional coordinates of all 5 atoms:
Ba: 0.0000 0.0000 0.0000
Ca: 0.0000 0.0000 0.5000
In: 0.0000 0.5000 0.5000
In: 0.5000 0.0000 0.5000
W: 0.5000 0.5000 0.0000



Number 1: formation energy from the elements -0.35 eV per atom. Number 2: formation energy from the elements -0.15 eV per atom. Number 3: formation energy from the elements -0.19 eV per atom. Number 4: formation energy from the elements -0.31 eV per atom. Number 5: formation energy from the elements -0.17 eV per atom. Number 6: formation energy from the elements -0.22 eV per atom. Number 7: formation energy from the elements 2.18 eV per atom. Number 8: formation energy from the elements 1.76 eV per atom.